# 1
Na3H2Br: optimized geometry, PBE.

Properties
The value obtained for the volume is 237 Å³/cell. The space group is Imma. As for the raw total energy: -2.603 eV per atom. The value obtained for the total magnetic moment is 0.00 Bohr magnetons per cell. The calculation puts the density of states at the Fermi level at 0.00 states/eV per cell.

Lattice parameters (Å, degrees): 7.0348 7.0348 7.0348 126.93 87.29 116.52
Sites, in units of the cell vectors:
Na: 0.0000 0.2482 0.2482
Na: 0.0000 0.7518 0.7518
Na: 0.5000 0.0000 0.0000
Na: 0.5000 0.2482 0.7482
Na: 0.5000 0.5000 0.5000
Na: 0.5000 0.7518 0.2518
H: 0.2747 0.1933 0.0815
H: 0.3882 0.8067 0.5815
H: 0.6118 0.1933 0.4185
H: 0.7253 0.8067 0.9185
Br: 0.1582 0.4082 0.7500
Br: 0.8418 0.5918 0.2500

# 2
Na3HBr2: optimized geometry, PBE.

Properties
The value obtained for the volume is 286 Å³/cell. The space group is C2/c. As for the raw total energy: -2.828 eV per atom. The value obtained for the total magnetic moment is 0.00 Bohr magnetons per cell. The calculation puts the density of states at the Fermi level at 0.00 states/eV per cell.

Lattice parameters (Å, degrees): 7.1222 7.1222 6.9148 99.11 99.11 120.52
Sites, in units of the cell vectors:
Na: 0.0000 0.5000 0.5000
Na: 0.1392 0.2790 0.0056
Na: 0.2790 0.1392 0.5056
Na: 0.5000 0.0000 0.0000
Na: 0.7210 0.8608 0.4944
Na: 0.8608 0.7210 0.9944
H: 0.0616 0.9384 0.7500
H: 0.9384 0.0616 0.2500
Br: 0.2529 0.7471 0.2500
Br: 0.4146 0.5854 0.7500
Br: 0.5854 0.4146 0.2500
Br: 0.7471 0.2529 0.7500

# 3
Na2HBr: optimized geometry, PBE.

Properties
Its distance to the lowest polymorph of the same formula is 198 meV per atom. The value obtained for the volume is 328 Å³/cell. The space group is Fm-3m. As for the raw total energy: -2.572 eV per atom. The value obtained for the total magnetic moment is 0.00 Bohr magnetons per cell. The calculation puts the density of states at the Fermi level at 0.00 states/eV per cell.

Lattice parameters (Å, degrees): 6.8933 6.8933 6.8933 90.00 90.00 90.00
Sites, in units of the cell vectors:
Na: 0.2500 0.2500 0.2500
Na: 0.2500 0.2500 0.7500
Na: 0.2500 0.7500 0.2500
Na: 0.2500 0.7500 0.7500
Na: 0.7500 0.2500 0.2500
Na: 0.7500 0.2500 0.7500
Na: 0.7500 0.7500 0.2500
Na: 0.7500 0.7500 0.7500
H: 0.0000 0.0000 0.0000
H: 0.0000 0.5000 0.5000
H: 0.5000 0.0000 0.5000
H: 0.5000 0.5000 0.0000
Br: 0.0000 0.0000 0.5000
Br: 0.0000 0.5000 0.0000
Br: 0.5000 0.0000 0.0000
Br: 0.5000 0.5000 0.5000

Q: Which value of raw total energy does entry 2 give?
A: -2.828 eV per atom